This record from Alexandria via LeMat-Bulk describes a geometry-optimized KMnIO2 structure. The functional is GGA+U.

Values from the calculation:
Calculated total energy = -3.56 eV/atom
Polymorph energy (0 for the lowest one) = 1121 meV/atom
M_tot = 7.8 μB/f.u.

Cell lengths 4.661, 4.661, 6.573 Å; angles 90.00, 90.00, 90.00 degrees
Fractional positions:
K 0.000 0.000 0.000
I 0.000 0.000 0.500
O 0.500 0.000 0.000
Mn 0.500 0.500 0.500
O 0.000 0.500 0.000